1.
Computed, not measured: BaCd2Br at its PBEsol-relaxed geometry at the SCAN level of DFT.

## Properties
Distance to the lowest polymorph of the same formula (meV/atom): 323.9
Energy relative to the elements, uncorrected (eV per atom): -0.44
DOS at the Fermi energy (states/eV/f.u.): 2.1
SG: Fm-3m, No. 225

```
BaCd2Br
1.0
7.9325 0.0000 0.0000
0.0000 7.9325 0.0000
0.0000 0.0000 7.9325
Ba Cd Br
4 8 4
Cartesian
0.0000 0.0000 0.0000 Ba
0.0000 3.9663 3.9663 Ba
3.9663 0.0000 3.9663 Ba
3.9663 3.9663 0.0000 Ba
1.9831 1.9831 1.9831 Cd
1.9831 1.9831 5.9494 Cd
1.9831 5.9494 1.9831 Cd
1.9831 5.9494 5.9494 Cd
5.9494 1.9831 1.9831 Cd
5.9494 1.9831 5.9494 Cd
5.9494 5.9494 1.9831 Cd
5.9494 5.9494 5.9494 Cd
0.0000 0.0000 3.9663 Br
0.0000 3.9663 0.0000 Br
3.9663 0.0000 0.0000 Br
3.9663 3.9663 3.9663 Br
```

2.
Computed, not measured: BaMgCd2Br at its PBEsol-relaxed geometry at the SCAN level of DFT.

## Properties
Energy relative to the elements, uncorrected (eV per atom): -0.47
DOS at the Fermi energy (states/eV/f.u.): 2.6
SG: P4/mmm, No. 123

```
BaMgCd2Br
1.0
5.3580 0.0000 0.0000
0.0000 5.3580 0.0000
0.0000 0.0000 5.5397
Ba Mg Cd Br
1 1 2 1
Cartesian
0.0000 0.0000 0.0000 Ba
2.6790 2.6790 2.7699 Mg
0.0000 2.6790 2.7699 Cd
2.6790 0.0000 2.7699 Cd
2.6790 2.6790 0.0000 Br
```

3.
Computed, not measured: Ba2BrCl2 at its PBEsol-relaxed geometry at the SCAN level of DFT.

## Properties
Energy relative to the elements, uncorrected (eV per atom): -2.19
DOS at the Fermi energy (states/eV/f.u.): 1.6
SG: I4/mmm, No. 139

```
Ba2BrCl2
1.0
4.9233 0.0000 0.0000
0.0000 4.9233 0.0000
0.0000 0.0000 15.1778
Ba Br Cl
4 2 4
Cartesian
0.0000 0.0000 1.9897 Ba
0.0000 0.0000 13.1881 Ba
2.4617 2.4617 5.5992 Ba
2.4617 2.4617 9.5786 Ba
0.0000 0.0000 7.5889 Br
2.4617 2.4617 0.0000 Br
0.0000 2.4617 3.7944 Cl
0.0000 2.4617 11.3833 Cl
2.4617 0.0000 3.7944 Cl
2.4617 0.0000 11.3833 Cl
```

4.
Computed, not measured: Ba2Cu3BrClO4 at its PBEsol-relaxed geometry at the SCAN level of DFT.

## Properties
Energy relative to the elements, uncorrected (eV per atom): -1.69
DOS at the Fermi energy (states/eV/f.u.): 2.2
SG: I-4m2, No. 119

```
Ba2Cu3BrClO4
1.0
-2.7457 2.7457 7.1767
2.7457 -2.7457 7.1767
2.7457 2.7457 -7.1767
Ba Cu Br Cl O
2 3 1 1 4
Cartesian
0.0000 0.0000 1.9429 Ba
0.0000 0.0000 12.4105 Ba
0.0000 2.7457 7.1721 Cu
0.0000 2.7457 0.0046 Cu
0.0000 0.0000 7.1767 Cu
0.0000 2.7457 3.5883 Br
2.7457 0.0000 3.5883 Cl
1.4070 1.4070 0.0000 O
1.3387 -1.3387 7.1767 O
-1.3387 1.3387 7.1767 O
1.3387 1.3387 7.1767 O
```

5.
Computed, not measured: K2BaBrCl at its PBEsol-relaxed geometry at the SCAN level of DFT.

## Properties
Energy relative to the elements, uncorrected (eV per atom): -1.17
DOS at the Fermi energy (states/eV/f.u.): 1.8
SG: P4/mmm, No. 123

```
K2BaBrCl
1.0
5.5836 0.0000 0.0000
0.0000 5.5836 0.0000
0.0000 0.0000 8.1078
K Ba Br Cl
2 1 1 1
Cartesian
0.0000 2.7918 0.0000 K
2.7918 0.0000 0.0000 K
0.0000 0.0000 4.0539 Ba
2.7918 2.7918 4.0539 Br
2.7918 2.7918 0.0000 Cl
```

6.
Computed, not measured: Ba10Br4N5Cl at its PBEsol-relaxed geometry at the SCAN level of DFT.

## Properties
Energy relative to the elements, uncorrected (eV per atom): -1.43
DOS at the Fermi energy (states/eV/f.u.): 6.3
SG: R-3m, No. 166

```
Ba10Br4N5Cl
1.0
2.0522 1.1848 38.9637
-2.0522 1.1848 38.9637
0.0000 -2.3696 38.9637
Ba Br N Cl
10 4 5 1
Cartesian
0.0000 0.0000 5.2320 Ba
0.0000 0.0000 18.0135 Ba
0.0000 0.0000 28.8081 Ba
0.0000 0.0000 41.2581 Ba
0.0000 0.0000 52.0554 Ba
0.0000 0.0000 64.8358 Ba
0.0000 0.0000 75.6330 Ba
0.0000 0.0000 88.0831 Ba
0.0000 0.0000 98.8777 Ba
0.0000 0.0000 111.6591 Ba
0.0000 0.0000 23.4117 Br
0.0000 0.0000 46.6572 Br
0.0000 0.0000 70.2340 Br
0.0000 0.0000 93.4795 Br
0.0000 0.0000 11.6239 N
0.0000 0.0000 35.2017 N
0.0000 0.0000 58.4456 N
0.0000 0.0000 81.6895 N
0.0000 0.0000 105.2673 N
0.0000 0.0000 0.0000 Cl
```

7.
Computed, not measured: Ba10BrN5Cl4 at its PBEsol-relaxed geometry at the SCAN level of DFT.

## Properties
Energy relative to the elements, uncorrected (eV per atom): -1.51
SG: R-3m, No. 166

```
Ba10BrN5Cl4
1.0
2.0432 1.1797 38.0838
-2.0432 1.1797 38.0838
0.0000 -2.3593 38.0838
Ba Br N Cl
10 1 5 4
Cartesian
0.0000 0.0000 5.4146 Ba
0.0000 0.0000 17.5678 Ba
0.0000 0.0000 28.0680 Ba
0.0000 0.0000 40.5529 Ba
0.0000 0.0000 51.0473 Ba
0.0000 0.0000 63.2041 Ba
0.0000 0.0000 73.6986 Ba
0.0000 0.0000 86.1834 Ba
0.0000 0.0000 96.6837 Ba
0.0000 0.0000 108.8368 Ba
0.0000 0.0000 0.0000 Br
0.0000 0.0000 11.4896 N
0.0000 0.0000 34.1405 N
0.0000 0.0000 57.1257 N
0.0000 0.0000 80.1109 N
0.0000 0.0000 102.7619 N
0.0000 0.0000 22.8177 Cl
0.0000 0.0000 45.7980 Cl
0.0000 0.0000 68.4534 Cl
0.0000 0.0000 91.4337 Cl
```

8.
Computed, not measured: BaSeBr2Cl at its PBEsol-relaxed geometry at the SCAN level of DFT.

## Properties
Energy relative to the elements, uncorrected (eV per atom): -0.60
DOS at the Fermi energy (states/eV/f.u.): 4.0
SG: P4/mmm, No. 123

```
BaSeBr2Cl
1.0
6.1473 0.0000 0.0000
0.0000 6.1473 0.0000
0.0000 0.0000 6.7243
Ba Se Br Cl
1 1 2 1
Cartesian
0.0000 0.0000 0.0000 Ba
0.0000 0.0000 3.3622 Se
0.0000 3.0737 0.0000 Br
3.0737 0.0000 0.0000 Br
3.0737 3.0737 3.3622 Cl
```

> Which value of energy relative to the elements, uncorrected does entry 8 give?

-0.60 eV per atom